VASP calculation (PBEsol) on crystalline LiCu2Ru at its relaxed geometry.

Lattice parameters (Å, degrees): 2.514 2.514 8.690 90.00 90.00 114.23
Fractional positions:
Li: 0.000 0.000 0.000
Cu: 0.500 0.500 0.247
Cu: 0.500 0.500 0.753
Ru: 0.000 0.000 0.500

Summary:
- size of the total moment (μB/atom) = 0.000
- formation enthalpy at 0 K (meV/atom) = 227
- E_tot (eV/atom) = -4.98
- energy above the lowest structure with this stoichiometry (eV per atom) = 0.1537